*P*
RuPtRh2 after structural relaxation. Source: Alexandria via LeMat-Bulk, functional GGA-PBE.

The structure in POSCAR format:
```
RuPtRh2
1.0
-0.301 2.496 4.014
-1.707 0.185 4.414
3.682 -1.833 2.345
Rh Pt Ru
2 1 1
Direct
0.001 0.001 0.996
0.752 0.752 0.745
0.248 0.248 0.252
0.498 0.498 0.507
```


*Q*
RuPtRh2 after structural relaxation. Source: Alexandria via LeMat-Bulk, functional GGA-PBE.

The structure in POSCAR format:
```
RuPtRh2
1.0
-3.521 -1.805 -2.612
2.778 -3.507 1.568
-1.547 -0.224 2.240
Pt Rh Ru
1 2 1
Direct
0.000 0.500 0.500
0.000 0.000 0.000
0.500 0.500 0.000
0.500 0.000 0.500
```


*R*
RuPtRh2 after structural relaxation. Source: Alexandria via LeMat-Bulk, functional GGA-PBE.

The structure in POSCAR format:
```
RuPtRh2
1.0
-2.622 -0.757 0.059
0.213 -0.528 2.670
-2.072 7.300 1.609
Ru Rh Pt
1 2 1
Direct
0.000 0.000 0.493
0.000 0.000 0.005
0.500 0.500 0.256
0.500 0.500 0.746
```


Energy ordering: *R* at the bottom, the next structure 11 meV per atom above.


*P*
RuPtRh2 after structural relaxation. Source: Alexandria via LeMat-Bulk, functional GGA-PBE.

The structure in POSCAR format:
```
RuPtRh2
1.0
-1.360 3.129 3.296
-4.558 1.139 -0.652
2.212 -4.184 0.316
Rh Ru Pt
2 1 1
Direct
0.500 0.500 0.000
0.000 0.000 0.000
0.750 0.250 0.500
0.250 0.750 0.500
```


*Q*
RuPtRh2 after structural relaxation. Source: Alexandria via LeMat-Bulk, functional GGA-PBE.

The structure in POSCAR format:
```
RuPtRh2
1.0
2.093 -2.700 2.764
-0.829 0.195 4.311
-2.192 -3.262 1.966
Pt Ru Rh
1 1 2
Direct
0.500 0.500 0.500
0.000 0.000 0.000
0.750 0.750 0.750
0.250 0.250 0.250
```


Energy ordering: *P* at the bottom, the next structure 329 meV per atom above.